1.
Entry from the Alexandria database: a relaxed structure of Y3MgAl3 (GGA-PBE).

Geometry as extended XYZ:
```
14
Lattice="-5.840 -3.184 2.131 3.763 -5.782 1.959 0.615 2.235 6.623" Properties=species:S:1:pos:R:3 pbc="T T T"
Al -2.952 -2.611 5.685
Al -0.293 -2.159 4.747
Al 1.491 -5.093 2.232
Al -2.953 -1.639 8.481
Al 1.491 -4.121 5.028
Al -1.168 -4.573 5.966
Y -3.058 -4.748 8.242
Y -1.687 -7.626 5.584
Y -2.189 -1.313 2.679
Y 0.728 -5.418 8.034
Y 0.225 0.894 5.129
Y 1.597 -1.984 2.471
Mg -1.170 -5.080 3.312
Mg -0.292 -1.651 7.401
```

## Properties
ΔH_f (0 K)	-0.247	eV/atom
space-group type	P-1, No. 2
VASP energy	-4.849	eV per atom

---

2.
Entry from the Alexandria database: a relaxed structure of Ac2Ga3CuRh4 (GGA-PBE).

Geometry as extended XYZ:
```
10
Lattice="-3.864 0.079 -2.038 0.238 -4.319 -0.618 -4.793 -1.556 9.027" Properties=species:S:1:pos:R:3 pbc="T T T"
Ga -6.149 -1.329 6.922
Ga -0.458 -2.347 0.777
Ga -2.397 -0.778 4.514
Rh -4.966 -0.945 4.696
Rh 0.000 0.000 0.000
Rh -1.640 -2.730 3.003
Rh -1.813 -2.120 -1.328
Ac -3.123 -0.347 1.224
Ac -3.484 -3.328 6.475
Cu -4.210 -2.898 3.185
```

## Properties
ΔH_f (0 K)	-0.692	eV/atom
space-group type	P-4m2, No. 115
VASP energy	-5.772	eV per atom

---

3.
Entry from the Alexandria database: a relaxed structure of NaMnInCl6 (GGA-PBE).

Geometry as extended XYZ:
```
18
Lattice="6.241 0.000 0.000 0.000 6.241 0.000 0.000 0.000 11.655" Properties=species:S:1:pos:R:3 pbc="T T T"
Cl 1.843 1.843 11.525
Cl 1.275 4.966 9.859
Cl 5.094 1.147 1.924
Cl 4.267 4.267 7.751
Cl 4.963 1.278 5.698
Cl 4.966 1.275 9.859
Cl 4.395 4.395 4.032
Cl 1.846 1.846 4.032
Cl 4.398 4.398 11.525
Cl 1.974 1.974 7.751
Cl 1.278 4.963 5.698
Cl 1.147 5.094 1.924
Na 0.000 0.000 7.782
Na 3.120 3.120 1.954
Mn 0.000 0.000 11.628
Mn 3.120 3.120 5.800
In 3.120 3.120 9.730
In 0.000 0.000 3.903
```

## Properties
space-group type	P4_2nm, No. 102
VASP energy	-3.921	eV per atom
formation energy (no corrections)	-1.2206	eV/atom

---

4.
Entry from the Alexandria database: a relaxed structure of KIr2Pb (GGA-PBE).

Geometry as extended XYZ:
```
4
Lattice="-4.793 -0.985 -2.171 -0.055 -1.392 5.169 -0.892 2.735 0.727" Properties=species:S:1:pos:R:3 pbc="T T T"
Ir -2.424 -1.189 1.499
Ir 0.000 0.000 0.000
K -2.842 0.875 -0.722
Pb -0.473 0.672 2.948
```

## Properties
ΔH_f (0 K)	0.947	eV/atom
space-group type	Cmmm, No. 65
VASP energy	-4.685	eV per atom

---

5.
Entry from the Alexandria database: a relaxed structure of AlZn4Sb (GGA-PBE).

Geometry as extended XYZ:
```
6
Lattice="0.000 3.792 3.792 3.792 0.000 3.792 3.792 3.792 0.000" Properties=species:S:1:pos:R:3 pbc="T T T"
Zn 4.735 4.735 2.849
Zn 2.849 4.735 4.735
Zn 4.735 2.849 4.735
Zn 2.849 2.849 2.849
Sb 0.000 0.000 0.000
Al 5.688 5.688 5.688
```

## Properties
space-group type	F-43m, No. 216
VASP energy	-1.982	eV per atom
formation energy (no corrections)	0.1784	eV/atom

---

6.
Entry from the Alexandria database: a relaxed structure of LiRh2 (GGA-PBE).

Geometry as extended XYZ:
```
6
Lattice="-1.312 2.224 8.119 1.312 -2.224 8.119 1.312 2.224 -8.119" Properties=species:S:1:pos:R:3 pbc="T T T"
Rh 0.000 1.112 0.539
Rh 1.312 1.112 7.580
Rh 1.312 1.112 5.128
Rh 0.000 1.112 2.990
Li 1.312 1.112 -2.210
Li 0.000 1.112 10.328
```

## Properties
ΔH_f (0 K)	0.137	eV/atom
space-group type	Imma, No. 74
VASP energy	-5.402	eV per atom

---

7.
Entry from the Alexandria database: a relaxed structure of CuTc2Sb (GGA-PBE).

Geometry as extended XYZ:
```
4
Lattice="4.716 -0.022 0.000 1.239 4.550 0.000 -2.977 -2.264 2.872" Properties=species:S:1:pos:R:3 pbc="T T T"
Cu 2.977 2.264 0.000
Tc 0.000 0.000 0.000
Tc 0.619 2.275 1.436
Sb 2.358 -0.011 1.436
```

## Properties
space-group type	I-4m2, No. 119
VASP energy	-6.964	eV per atom
formation energy (no corrections)	0.2739	eV/atom

---

8.
Entry from the Alexandria database: a relaxed structure of Pm2HoCu (GGA-PBE).

Geometry as extended XYZ:
```
16
Lattice="-0.584 5.123 -4.005 -2.510 -4.180 -4.981 -9.194 1.554 3.328" Properties=species:S:1:pos:R:3 pbc="T T T"
Ho -3.991 1.458 -4.345
Ho -8.296 1.039 -1.314
Ho -2.867 4.695 -2.750
Ho -9.420 -2.198 -2.909
Cu -8.950 3.538 -4.288
Cu -4.826 -1.076 -5.468
Cu -3.337 -1.041 -1.371
Cu -7.461 3.573 -0.191
Pm -9.889 4.384 -1.663
Pm -2.399 -1.887 -3.996
Pm -7.559 0.999 -4.873
Pm -6.384 3.792 -2.932
Pm -1.224 0.905 -2.054
Pm -5.903 -1.295 -2.727
Pm -4.728 1.498 -0.786
Pm -11.064 1.592 -3.605
```

## Properties
ΔH_f (0 K)	-0.075	eV/atom
space-group type	Pnma, No. 62
VASP energy	-4.619	eV per atom
polymorph energy (0 for the lowest one)	0	meV/atom

---

9.
Entry from the Alexandria database: a relaxed structure of Gd2TmZr (GGA-PBE).

Geometry as extended XYZ:
```
4
Lattice="3.355 0.000 0.000 1.678 2.906 0.000 1.678 0.969 11.957" Properties=species:S:1:pos:R:3 pbc="T T T"
Gd 5.033 2.906 3.103
Gd 1.678 0.969 8.854
Tm 3.355 1.937 5.979
Zr 0.000 0.000 0.000
```

## Properties
ΔH_f (0 K)	0.290	eV/atom
space-group type	R-3m, No. 166
VASP energy	-10.006	eV per atom
polymorph energy (0 for the lowest one)	204	meV/atom

---

10.
Entry from the Alexandria database: a relaxed structure of LaAsRh2N (GGA-PBE).

Geometry as extended XYZ:
```
10
Lattice="-3.057 1.388 1.582 -1.261 -0.621 -6.243 -2.468 -6.770 1.172" Properties=species:S:1:pos:R:3 pbc="T T T"
Rh -4.519 -2.331 -2.332
Rh -3.512 0.432 -2.810
Rh -3.274 -6.435 -0.679
Rh -2.267 -3.673 -1.157
As -2.097 -1.654 -2.599
As -4.689 -4.349 -0.889
N -1.234 -3.385 0.586
N 0.000 0.000 0.000
La -2.307 -0.994 0.768
La -4.479 -5.009 -4.257
```

## Properties
space-group type	Cmcm, No. 63
VASP energy	-7.302	eV per atom
formation energy (no corrections)	-0.7805	eV/atom

---

11.
Entry from the Alexandria database: a relaxed structure of Al3Si2O10 (GGA-PBE).

Geometry as extended XYZ:
```
15
Lattice="4.608 -0.009 0.031 -0.867 4.813 -0.017 -1.781 -2.008 7.015" Properties=species:S:1:pos:R:3 pbc="T T T"
O 3.327 2.900 1.849
O -1.366 -0.105 5.180
O -0.230 3.431 4.535
O 2.191 -0.636 2.494
O 3.298 0.565 0.438
O 0.994 0.852 6.241
O 2.225 2.187 4.191
O -0.265 0.608 2.838
O -1.338 2.230 6.591
O 0.966 1.943 0.789
Al 0.093 -0.820 6.287
Al -0.890 -1.004 3.508
Al 1.867 3.615 0.742
Si 2.425 1.288 5.535
Si -0.465 1.508 1.495
```

## Properties
space-group type	P-1, No. 2
VASP energy	-7.124	eV per atom
formation energy (no corrections)	-2.3471	eV/atom

---

12.
Entry from the Alexandria database: a relaxed structure of PtSe2O (GGA-PBE).

Geometry as extended XYZ:
```
8
Lattice="-0.753 3.927 -3.077 -2.119 -3.069 -3.398 -6.895 1.378 -0.690" Properties=species:S:1:pos:R:3 pbc="T T T"
Se -2.434 2.284 -2.417
Se -3.168 -0.951 -2.784
Se -6.320 1.253 -3.059
Se -7.614 1.887 -6.069
O -1.436 0.429 -3.237
O -5.225 -0.631 -3.662
Pt 0.000 0.000 0.000
Pt -4.542 2.867 -3.502
```

## Properties
space-group type	I-42d, No. 122
VASP energy	-4.342	eV per atom
formation energy (no corrections)	0.1502	eV/atom

---

13.
Entry from the Alexandria database: a relaxed structure of Na2PuZnS4 (GGA-PBE).

Geometry as extended XYZ:
```
8
Lattice="-1.397 3.369 -1.300 0.822 -2.076 -6.261 -6.442 -1.795 2.273" Properties=species:S:1:pos:R:3 pbc="T T T"
Zn 0.000 0.000 0.000
S -5.184 -1.352 -3.696
S -1.833 0.850 -1.592
S -4.731 -1.925 0.096
S -0.888 -1.945 -4.084
Na -3.919 0.787 0.487
Na -2.810 -1.935 -1.994
Pu -0.288 0.647 -3.781
```

## Properties
space-group type	P2/m, No. 10
VASP energy	-5.465	eV per atom
formation energy (no corrections)	-1.1204	eV/atom

---

14.
Entry from the Alexandria database: a relaxed structure of AlTe2Ir (GGA-PBE).

Geometry as extended XYZ:
```
4
Lattice="-0.045 3.857 7.753 -2.241 0.542 8.347 1.773 0.343 8.470" Properties=species:S:1:pos:R:3 pbc="T T T"
Te -0.059 0.542 2.807
Te -0.455 4.200 21.764
Al 0.000 0.000 0.000
Ir -0.257 2.371 12.285
```

## Properties
space-group type	R-3m, No. 166
VASP energy	-4.589	eV per atom
polymorph energy (0 for the lowest one)	388	meV/atom
formation energy (no corrections)	0.1332	eV/atom

---

15.
Entry from the Alexandria database: a relaxed structure of Sc2PaO6 (GGA-PBE).

Geometry as extended XYZ:
```
18
Lattice="4.930 0.000 0.000 0.000 4.930 0.000 0.000 0.000 10.010" Properties=species:S:1:pos:R:3 pbc="T T T"
O 3.424 3.424 6.703
O 3.424 3.424 3.308
O 0.958 3.972 8.313
O 3.972 0.958 1.698
O 1.526 1.526 0.000
O 3.972 0.958 8.313
O 1.507 1.507 6.703
O 1.507 1.507 3.308
O 3.991 0.939 5.005
O 3.404 3.404 0.000
O 0.958 3.972 1.698
O 0.939 3.991 5.005
Sc 0.000 0.000 6.670
Sc 2.465 2.465 8.346
Sc 0.000 0.000 3.340
Sc 2.465 2.465 1.665
Pa 2.465 2.465 5.005
Pa 0.000 0.000 0.000
```

## Properties
space-group type	P4_2/mnm, No. 136
VASP energy	-9.019	eV per atom
polymorph energy (0 for the lowest one)	0	meV/atom
formation energy (no corrections)	-3.2512	eV/atom

---

16.
Entry from the Alexandria database: a relaxed structure of Pm7Y3Er2 (GGA-PBE).

Geometry as extended XYZ:
```
12
Lattice="-5.931 -1.992 -2.099 -2.152 -6.065 1.462 -7.317 1.212 9.150" Properties=species:S:1:pos:R:3 pbc="T T T"
Y -10.178 -6.290 3.607
Y -5.222 -0.555 4.907
Y 0.000 0.000 0.000
Pm -6.281 -6.111 2.800
Pm -7.188 -2.814 7.533
Pm -9.119 -0.734 5.713
Pm -8.212 -4.031 0.981
Pm -5.182 -3.013 2.053
Pm -10.218 -3.832 6.460
Pm -7.700 -3.422 4.257
Er -5.402 -5.360 -0.397
Er -9.998 -1.485 8.910
```

## Properties
ΔH_f (0 K)	0.274	eV/atom
space-group type	R-3m, No. 166
VASP energy	-4.874	eV per atom
polymorph energy (0 for the lowest one)	170	meV/atom

---

17.
Entry from the Alexandria database: a relaxed structure of BaYTa2Sn (GGA-PBE).

Geometry as extended XYZ:
```
5
Lattice="5.169 0.000 0.000 0.000 5.850 0.000 0.000 0.000 5.169" Properties=species:S:1:pos:R:3 pbc="T T T"
Y 2.584 2.925 2.584
Sn 0.000 2.925 0.000
Ta 0.000 0.000 2.584
Ta 2.584 0.000 0.000
Ba 0.000 0.000 0.000
```

## Properties
ΔH_f (0 K)	2.118	eV/atom
space-group type	P4/mmm, No. 123
VASP energy	-5.101	eV per atom
polymorph energy (0 for the lowest one)	940	meV/atom

---

18.
Entry from the Alexandria database: a relaxed structure of HgRh3 (GGA-PBE).

Geometry as extended XYZ:
```
4
Lattice="-1.418 2.430 4.567 1.418 -2.430 4.567 1.418 2.430 -4.567" Properties=species:S:1:pos:R:3 pbc="T T T"
Rh 0.000 3.224 2.211
Rh 1.418 0.794 2.356
Rh 1.418 2.428 0.000
Hg 0.000 0.035 0.000
```

## Properties
ΔH_f (0 K)	0.214	eV/atom
space-group type	Imm2, No. 44
VASP energy	-5.375	eV per atom

---

19.
Entry from the Alexandria database: a relaxed structure of TbPm9Mg2 (GGA-PBE).

Geometry as extended XYZ:
```
12
Lattice="-0.895 -4.628 1.788 3.532 -1.870 -3.073 10.506 2.133 10.779" Properties=species:S:1:pos:R:3 pbc="T T T"
Pm 10.485 0.835 7.409
Pm 1.319 -3.249 -0.642
Pm 7.019 0.131 3.853
Pm 3.554 -0.572 0.298
Pm 1.340 -1.951 2.728
Pm 4.849 -2.532 2.980
Pm 8.271 -0.544 9.840
Pm 8.295 -1.833 6.515
Pm 4.806 -1.247 6.284
Mg 6.965 1.414 7.146
Mg 3.541 0.719 3.633
Tb 0.000 0.000 0.000
```

## Properties
ΔH_f (0 K)	0.005	eV/atom
space-group type	P4/mmm, No. 123
VASP energy	-4.209	eV per atom

---

20.
Entry from the Alexandria database: a relaxed structure of CaMgP2S (GGA-PBE).

Geometry as extended XYZ:
```
5
Lattice="-2.921 0.099 -4.292 3.828 -2.290 -2.658 -1.914 -4.588 1.197" Properties=species:S:1:pos:R:3 pbc="T T T"
Ca 0.000 0.000 0.000
P -1.461 0.049 -2.146
P 1.914 -1.145 -1.329
Mg -0.503 -3.390 -2.877
S -0.957 -2.294 0.598
```

## Properties
space-group type	P4/mmm, No. 123
VASP energy	-3.147	eV per atom
polymorph energy (0 for the lowest one)	646	meV/atom
formation energy (no corrections)	0.5613	eV/atom

---

| no. | DOS at the Fermi energy (states/eV per cell) |
| --- | --- |
| 1 | 8.4 |
| 2 | 3.8 |
| 3 | 0.0 |
| 4 | 3.4 |
| 5 | 4.1 |
| 6 | 6.0 |
| 7 | 3.1 |
| 8 | 16.5 |
| 9 | 5.2 |
| 10 | 8.4 |
| 11 | 3.7 |
| 12 | 5.5 |
| 13 | 9.1 |
| 14 | 2.0 |
| 15 | 14.1 |
| 16 | 19.3 |
| 17 | 11.3 |
| 18 | 4.6 |
| 19 | 18.4 |
| 20 | 4.8 |